A relaxed structure of YSc3Cd2, computed with PBE.

Cell: 4.9724 8.9261 6.6204 Å, 90.00 90.00 90.00°
Closest atoms and distances in Å follow each position.
Positions (direct):
Y (0.0000, 0.0418, 0.0000)  5 Cd 3.13-3.44, 6 Sc 3.39-3.49, 2 Y 3.39
Y (0.0000, 0.9582, 0.5000)  5 Cd 3.13-3.44, 6 Sc 3.39-3.49, 2 Y 3.39
Sc (0.0000, 0.3284, 0.6636)  4 Cd 2.86-2.99
Sc (0.0000, 0.6716, 0.1636)  4 Cd 2.86-2.99
Sc (0.5000, 0.1887, 0.3000)  4 Cd 2.94-3.07, 1 Sc 3.29
Sc (0.5000, 0.4579, 0.9612)  5 Cd 3.07-3.41, 8 Sc 3.29-3.41
Sc (0.5000, 0.5421, 0.4612)  5 Cd 3.07-3.41, 8 Sc 3.29-3.41
Sc (0.5000, 0.8113, 0.8000)  4 Cd 2.94-3.07, 1 Sc 3.29
Cd (0.0000, 0.3539, 0.2154)  6 Sc 2.86-3.14, 1 Y 3.13
Cd (0.0000, 0.6461, 0.7154)  6 Sc 2.86-3.14, 1 Y 3.13
Cd (0.5000, 0.1531, 0.7461)  5 Sc 2.97-3.07, 2 Y 3.16
Cd (0.5000, 0.8469, 0.2461)  5 Sc 2.97-3.07, 2 Y 3.16

- space group = No. 26
- total DFT energy (no corrections) (eV/cell) = -56.89